Here is a relaxed PmTmScCd crystal from Alexandria via LeMat-Bulk. Energies are from PBE.

## Properties
Total DFT energy (no corrections) (eV/atom): -4.160

Cell: 5.3616 5.3616 5.3616 Å, 60.00 60.00 60.00°
Last column: nearest neighbours and their distance in Å.
Atoms (fractional coordinates):
Pm 0.0000 0.0000 0.0000  4 Sc 3.28, 4 Cd 3.28
Tm 0.5000 0.5000 0.5000  4 Sc 3.28, 4 Cd 3.28
Sc 0.7500 0.7500 0.7500  4 Pm 3.28, 4 Tm 3.28
Cd 0.2500 0.2500 0.2500  4 Tm 3.28, 4 Pm 3.28

Here is a relaxed Sm8Ga2Si crystal from Alexandria via LeMat-Bulk. Energies are from PBE.

## Properties
Total DFT energy (no corrections) (eV/atom): -4.785
Energy relative to the elements, uncorrected (meV/atom): -309.4

Cell: 9.8115 9.8115 6.7530 Å, 102.09 102.09 29.77°
Last column: nearest neighbours and their distance in Å.
Atoms (fractional coordinates):
Sm 0.0242 0.0242 0.2747  2 Si 3.03, 1 Ga 3.10, 1 Sm 3.36
Sm 0.2100 0.2100 0.8173  3 Ga 3.09-3.30, 2 Sm 3.40
Sm 0.3433 0.3433 0.5200  1 Si 3.00, 3 Ga 3.06-3.13
Sm 0.4097 0.4097 0.0451  1 Si 3.18, 3 Sm 3.47-3.50, 2 Ga 3.49
Sm 0.5903 0.5903 0.9549  1 Si 3.18, 3 Sm 3.47-3.50, 2 Ga 3.49
Sm 0.6567 0.6567 0.4800  1 Si 3.00, 3 Ga 3.06-3.13
Sm 0.7900 0.7900 0.1827  3 Ga 3.09-3.30, 2 Sm 3.40
Sm 0.9758 0.9758 0.7253  2 Si 3.03, 1 Ga 3.10, 1 Sm 3.36
Ga 0.1861 0.1861 0.2550  7 Sm 3.06-3.30
Ga 0.8139 0.8139 0.7450  7 Sm 3.06-3.30
Si 0.5000 0.5000 0.5000  8 Sm 3.00-3.18

Here is a relaxed ScS2BrN crystal from Alexandria via LeMat-Bulk. Energies are from PBE.

## Properties
Total DFT energy (no corrections) (eV/atom): -4.106
Energy relative to the elements, uncorrected (meV/atom): 811.4

Cell: 4.8941 4.8941 3.7975 Å, 90.00 90.00 90.00°
Last column: nearest neighbours and their distance in Å.
Atoms (fractional coordinates):
Sc 0.0000 0.0000 0.0000  8 S 3.10, 4 N 3.46
S 0.0000 0.5000 0.5000  2 Br 2.45
S 0.5000 0.0000 0.5000  2 Br 2.45
Br 0.5000 0.5000 0.5000  2 N 1.90
N 0.5000 0.5000 0.0000  2 Br 1.90

Here is a relaxed Mg2CuP crystal from Alexandria via LeMat-Bulk. Energies are from PBE.

## Properties
Total DFT energy (no corrections) (eV/atom): -3.229

Cell: 3.9999 3.9999 6.5809 Å, 100.11 100.11 43.83°
Last column: nearest neighbours and their distance in Å.
Atoms (fractional coordinates):
Mg 0.2504 0.2504 0.2470  3 P 2.68-2.69, 3 Cu 2.70-2.72, 2 Mg 2.99
Mg 0.7496 0.7496 0.7530  3 P 2.68-2.69, 3 Cu 2.70-2.72, 2 Mg 2.99
Cu 0.0000 0.0000 0.5000  6 Mg 2.70-2.72, 2 Cu 2.99
P 0.5000 0.5000 0.0000  6 Mg 2.68-2.69, 2 P 2.99

Here is a relaxed K3BrCl crystal from Alexandria via LeMat-Bulk. Energies are from PBE.

## Properties
Total DFT energy (no corrections) (eV/atom): -2.585
Energy relative to the elements, uncorrected (meV/atom): -1223.1

Cell: 6.1188 6.1188 6.1188 Å, 90.00 90.00 90.00°
Last column: nearest neighbours and their distance in Å.
Atoms (fractional coordinates):
K 0.0000 0.0000 0.5000  2 Cl 3.06
K 0.0000 0.5000 0.0000  2 Cl 3.06
K 0.5000 0.0000 0.0000  2 Cl 3.06
Br 0.5000 0.5000 0.5000  12 K 4.33
Cl 0.0000 0.0000 0.0000  6 K 3.06

Here is a relaxed BC2 crystal from Alexandria via LeMat-Bulk. Energies are from PBE.

## Properties
Total DFT energy (no corrections) (eV/atom): -8.085

Cell: 4.5281 4.5281 7.6429 Å, 114.98 114.98 33.26°
Last column: nearest neighbours and their distance in Å.
Atoms (fractional coordinates):
B 0.0000 0.0000 0.0000  3 C 1.58-1.61
B 0.2236 0.2236 0.2800  3 C 1.52-1.59
B 0.5212 0.5212 0.4022  4 C 1.60-1.72
B 0.8549 0.8549 0.5668  4 C 1.59-1.71
C 0.0291 0.0291 0.5460  1 C 1.52, 3 B 1.59-1.68
C 0.1876 0.1876 0.7408  4 C 1.52-1.59
C 0.3469 0.3469 0.1759  2 C 1.54, 2 B 1.59-1.72
C 0.3537 0.3537 0.7127  2 C 1.51-1.55
C 0.5214 0.5214 0.8951  2 C 1.51-1.55, 2 B 1.58
C 0.6843 0.6843 0.8600  4 C 1.55-1.59
C 0.6858 0.6858 0.3590  4 B 1.52-1.62
C 0.8473 0.8473 0.0665  3 C 1.54-1.59, 1 B 1.61

Here is a relaxed La2MnWS crystal from Alexandria via LeMat-Bulk. Energies are from PBE.

## Properties
Total DFT energy (no corrections) (eV/atom): -6.957
Energy relative to the elements, uncorrected (meV/atom): 264.0

Cell: 5.6106 5.6106 4.5027 Å, 90.00 90.00 90.00°
Last column: nearest neighbours and their distance in Å.
Atoms (fractional coordinates):
La 0.0000 0.5000 0.0000  2 W 2.81
La 0.5000 0.0000 0.0000  2 W 2.81
Mn 0.0000 0.0000 0.5000  2 W 2.25
W 0.0000 0.0000 0.0000  2 Mn 2.25
S 0.5000 0.5000 0.5000  8 La 3.60, 4 Mn 3.97

Here is a relaxed TaCd2GaO6 crystal from Alexandria via LeMat-Bulk. Energies are from PBE.

## Properties
Total DFT energy (no corrections) (eV/atom): -6.350
Energy relative to the elements, uncorrected (meV/atom): -1703.7

Cell: 5.2707 5.2707 4.8757 Å, 90.00 90.00 90.00°
Last column: nearest neighbours and their distance in Å.
Atoms (fractional coordinates):
Ta 0.0000 0.0000 0.0000  5 O 1.86-1.96
Cd 0.0000 0.5000 0.4259  4 O 2.38
Cd 0.5000 0.0000 0.4259  4 O 2.38
Ga 0.5000 0.5000 0.9922  5 O 1.85-1.96
O 0.0000 0.0000 0.6191  1 Ta 1.86
O 0.2506 0.2506 0.1225  1 Ta 1.96, 1 Ga 1.96
O 0.2506 0.7494 0.1225  1 Ta 1.96, 1 Ga 1.96
O 0.5000 0.5000 0.6134  1 Ga 1.85
O 0.7494 0.2506 0.1225  1 Ta 1.96, 1 Ga 1.96
O 0.7494 0.7494 0.1225  1 Ta 1.96, 1 Ga 1.96

What did the seventh record say?
Here is a relaxed La2MnWS crystal from Alexandria via LeMat-Bulk. Energies are from PBE.

## Properties
Total DFT energy (no corrections) (eV/atom): -6.957
Energy relative to the elements, uncorrected (meV/atom): 264.0

Cell: 5.6106 5.6106 4.5027 Å, 90.00 90.00 90.00°
Last column: nearest neighbours and their distance in Å.
Atoms (fractional coordinates):
La 0.0000 0.5000 0.0000  2 W 2.81
La 0.5000 0.0000 0.0000  2 W 2.81
Mn 0.0000 0.0000 0.5000  2 W 2.25
W 0.0000 0.0000 0.0000  2 Mn 2.25
S 0.5000 0.5000 0.5000  8 La 3.60, 4 Mn 3.97